Density functional theory data (PBE) for RbPu2AgSe4 after structural relaxation.

CIF file:
```
data_RbPu2AgSe4
_symmetry_space_group_name_H-M 'C m c m'
_symmetry_Int_Tables_number 63
_symmetry_space_group_name_Hall '-C 2c 2'
_cell_length_a 4.288
_cell_length_b 14.354
_cell_length_c 14.814
_cell_angle_alpha 90.00
_cell_angle_beta 90.00
_cell_angle_gamma 90.00
loop_
_atom_site_label
_atom_site_type_symbol
_atom_site_fract_x
_atom_site_fract_y
_atom_site_fract_z
Rb1 Rb 0.000 0.117 0.250
Pu1 Pu 0.000 0.369 0.064
Ag1 Ag 0.000 0.162 0.750
Se1 Se 0.000 0.000 0.000
Se2 Se 0.000 0.262 0.601
Se3 Se 0.000 0.441 0.250
```

Results
- E_form (uncorrected) (eV per atom) = -1.22